--- a ---
DFT (GGA-PBE) results for a relaxed structure of Ba3GeO5.

a b c (Å): 7.511 7.511 11.787
angles (deg): 90.00 90.00 90.00
Sites, in units of the cell vectors:
Ba 0.061 0.561 0.250
Ba 0.061 0.939 0.750
Ba 0.250 0.250 0.004
Ba 0.250 0.250 0.504
Ba 0.439 0.561 0.750
Ba 0.439 0.939 0.250
Ba 0.561 0.061 0.750
Ba 0.561 0.439 0.250
Ba 0.750 0.750 0.496
Ba 0.750 0.750 0.996
Ba 0.939 0.061 0.250
Ba 0.939 0.439 0.750
Ge 0.250 0.750 0.000
Ge 0.250 0.750 0.500
Ge 0.750 0.250 0.000
Ge 0.750 0.250 0.500
O 0.090 0.652 0.907
O 0.090 0.848 0.407
O 0.152 0.590 0.593
O 0.152 0.910 0.093
O 0.250 0.250 0.282
O 0.250 0.250 0.782
O 0.348 0.590 0.093
O 0.348 0.910 0.593
O 0.410 0.652 0.407
O 0.410 0.848 0.907
O 0.590 0.152 0.093
O 0.590 0.348 0.593
O 0.652 0.090 0.407
O 0.652 0.410 0.907
O 0.750 0.750 0.218
O 0.750 0.750 0.718
O 0.848 0.090 0.907
O 0.848 0.410 0.407
O 0.910 0.152 0.593
O 0.910 0.348 0.093

Values from the calculation:
Space group   P4/ncc, No. 130
DOS(E_F)   0.00 states/eV/atom

=====

--- b ---
DFT (GGA-PBE) results for a relaxed structure of Ba3GeO5.

a b c (Å): 7.887 7.887 7.887
angles (deg): 123.77 123.77 83.59
Sites, in units of the cell vectors:
Ba 0.183 0.683 0.866
Ba 0.250 0.250 0.000
Ba 0.317 0.183 0.500
Ba 0.683 0.817 0.500
Ba 0.750 0.750 0.000
Ba 0.817 0.317 0.134
Ge 0.250 0.750 0.500
Ge 0.750 0.250 0.500
O 0.000 0.000 0.000
O 0.023 0.791 0.500
O 0.209 0.709 0.232
O 0.291 0.523 0.500
O 0.477 0.977 0.768
O 0.500 0.500 0.000
O 0.523 0.023 0.232
O 0.709 0.477 0.500
O 0.791 0.291 0.768
O 0.977 0.209 0.500

Values from the calculation:
Space group   I4/mcm, No. 140
DOS(E_F)   0.00 states/eV/atom

=====

Which is most stable, and by how much? a, by 0.007 eV/atom.

=====

--- a ---
DFT (GGA-PBE) results for a relaxed structure of Ba3GeO5.

a b c (Å): 10.760 10.760 10.760
angles (deg): 44.02 44.02 44.02
Sites, in units of the cell vectors:
Ba 0.020 0.490 0.490
Ba 0.056 0.056 0.541
Ba 0.056 0.541 0.056
Ba 0.277 0.277 0.765
Ba 0.277 0.765 0.277
Ba 0.490 0.020 0.490
Ba 0.490 0.490 0.020
Ba 0.541 0.056 0.056
Ba 0.765 0.277 0.277
Ge 0.559 0.559 0.559
Ge 0.776 0.776 0.776
Ge 0.995 0.995 0.995
O 0.136 0.136 0.773
O 0.136 0.773 0.136
O 0.151 0.151 0.151
O 0.275 0.275 0.275
O 0.392 0.392 0.392
O 0.417 0.417 0.780
O 0.417 0.780 0.417
O 0.621 0.621 0.621
O 0.635 0.635 0.999
O 0.635 0.999 0.635
O 0.773 0.136 0.136
O 0.780 0.417 0.417
O 0.837 0.837 0.837
O 0.933 0.933 0.933
O 0.999 0.635 0.635

Values from the calculation:
Space group   R3m, No. 160
DOS(E_F)   0.00 states/eV/atom

=====

--- b ---
DFT (GGA-PBE) results for a relaxed structure of Ba3GeO5.

a b c (Å): 10.677 10.677 10.677
angles (deg): 44.42 44.42 44.42
Sites, in units of the cell vectors:
Ba 0.020 0.490 0.490
Ba 0.065 0.065 0.535
Ba 0.065 0.535 0.065
Ba 0.278 0.278 0.776
Ba 0.278 0.776 0.278
Ba 0.490 0.020 0.490
Ba 0.490 0.490 0.020
Ba 0.535 0.065 0.065
Ba 0.776 0.278 0.278
Ge 0.000 0.000 0.000
Ge 0.560 0.560 0.560
Ge 0.781 0.781 0.781
O 0.002 0.639 0.639
O 0.062 0.062 0.062
O 0.101 0.101 0.737
O 0.101 0.737 0.101
O 0.165 0.165 0.165
O 0.278 0.278 0.278
O 0.392 0.392 0.392
O 0.418 0.418 0.780
O 0.418 0.780 0.418
O 0.622 0.622 0.622
O 0.639 0.002 0.639
O 0.639 0.639 0.002
O 0.737 0.101 0.101
O 0.780 0.418 0.418
O 0.843 0.843 0.843

Values from the calculation:
Space group   R3m, No. 160
DOS(E_F)   0.00 states/eV/atom

=====

Which is most stable, and by how much? b, by 0.008 eV/atom.

=====

--- a ---
DFT (GGA-PBE) results for a relaxed structure of Ba4Ge2O.

a b c (Å): 5.647 5.647 15.491
angles (deg): 90.00 90.00 90.00
Sites, in units of the cell vectors:
Ba 0.000 0.000 0.176
Ba 0.000 0.000 0.824
Ba 0.000 0.500 0.000
Ba 0.000 0.500 0.500
Ba 0.500 0.000 0.000
Ba 0.500 0.000 0.500
Ba 0.500 0.500 0.324
Ba 0.500 0.500 0.676
Ge 0.000 0.000 0.384
Ge 0.000 0.000 0.616
Ge 0.500 0.500 0.116
Ge 0.500 0.500 0.884
O 0.000 0.000 0.000
O 0.500 0.500 0.500

Values from the calculation:
Space group   I4/mmm, No. 139
DOS(E_F)   0.09 states/eV/atom

=====

--- b ---
DFT (GGA-PBE) results for a relaxed structure of Ba4Ge2O.

a b c (Å): 7.989 7.579 8.622
angles (deg): 90.00 103.91 90.00
Sites, in units of the cell vectors:
Ba 0.062 0.250 0.387
Ba 0.272 0.501 0.063
Ba 0.272 0.999 0.063
Ba 0.410 0.750 0.535
Ba 0.590 0.250 0.465
Ba 0.728 0.001 0.937
Ba 0.728 0.499 0.937
Ba 0.938 0.750 0.613
Ge 0.009 0.250 0.768
Ge 0.343 0.250 0.747
Ge 0.657 0.750 0.253
Ge 0.991 0.750 0.232
O 0.316 0.250 0.258
O 0.684 0.750 0.742

Values from the calculation:
Space group   P2_1/m, No. 11
DOS(E_F)   0.22 states/eV/atom

=====

Which is most stable, and by how much? b, by 0.023 eV/atom.

=====

--- a ---
DFT (GGA-PBE) results for a relaxed structure of BaGeO.

a b c (Å): 6.920 6.920 7.745
angles (deg): 90.00 90.00 129.45
Sites, in units of the cell vectors:
Ba 0.149 0.851 0.931
Ba 0.351 0.649 0.431
Ba 0.649 0.351 0.569
Ba 0.851 0.149 0.069
Ge 0.074 0.926 0.376
Ge 0.426 0.574 0.876
Ge 0.574 0.426 0.124
Ge 0.926 0.074 0.624
O 0.248 0.252 0.250
O 0.252 0.248 0.750
O 0.748 0.752 0.250
O 0.752 0.748 0.750

Values from the calculation:
Space group   Cmce, No. 64
DOS(E_F)   0.47 states/eV/atom

=====

--- b ---
DFT (GGA-PBE) results for a relaxed structure of BaGeO.

a b c (Å): 4.782 12.892 5.101
angles (deg): 90.00 90.00 90.00
Sites, in units of the cell vectors:
Ba 0.000 0.148 0.000
Ba 0.000 0.852 0.500
Ba 0.500 0.352 0.500
Ba 0.500 0.648 0.000
Ge 0.000 0.462 0.104
Ge 0.000 0.538 0.604
Ge 0.500 0.038 0.604
Ge 0.500 0.962 0.104
O 0.000 0.327 0.252
O 0.000 0.673 0.752
O 0.500 0.173 0.752
O 0.500 0.827 0.252

Values from the calculation:
Space group   Cmc2_1, No. 36
DOS(E_F)   0.30 states/eV/atom

=====

Which is most stable, and by how much? b, by 0.293 eV/atom.

=====

--- a ---
DFT (GGA-PBE) results for a relaxed structure of BaGePbO4.

a b c (Å): 6.318 7.830 10.339
angles (deg): 90.00 90.00 90.00
Sites, in units of the cell vectors:
Ba 0.020 0.249 0.287
Ba 0.480 0.751 0.787
Ba 0.520 0.251 0.713
Ba 0.980 0.749 0.213
Ge 0.021 0.542 0.909
Ge 0.479 0.458 0.409
Ge 0.521 0.958 0.091
Ge 0.979 0.042 0.591
Pb 0.070 0.045 0.910
Pb 0.430 0.955 0.410
Pb 0.570 0.455 0.090
Pb 0.930 0.545 0.590
O 0.062 0.950 0.440
O 0.090 0.759 0.946
O 0.200 0.018 0.699
O 0.245 0.455 0.832
O 0.255 0.545 0.332
O 0.300 0.982 0.199
O 0.410 0.241 0.446
O 0.438 0.050 0.940
O 0.562 0.550 0.560
O 0.590 0.741 0.054
O 0.700 0.482 0.301
O 0.745 0.045 0.168
O 0.755 0.955 0.668
O 0.800 0.518 0.801
O 0.910 0.259 0.554
O 0.938 0.450 0.060

Values from the calculation:
Space group   P2_12_12_1, No. 19
DOS(E_F)   0.00 states/eV/atom

=====

--- b ---
DFT (GGA-PBE) results for a relaxed structure of BaGePbO4.

a b c (Å): 6.378 5.998 7.581
angles (deg): 90.00 114.09 90.00
Sites, in units of the cell vectors:
Ba 0.209 0.250 0.459
Ba 0.791 0.750 0.541
Ge 0.220 0.750 0.202
Ge 0.780 0.250 0.798
Pb 0.319 0.250 0.025
Pb 0.681 0.750 0.975
O 0.033 0.750 0.952
O 0.054 0.750 0.342
O 0.412 0.516 0.268
O 0.412 0.984 0.268
O 0.588 0.016 0.732
O 0.588 0.484 0.732
O 0.946 0.250 0.658
O 0.967 0.250 0.048

Values from the calculation:
Space group   P2_1/m, No. 11
DOS(E_F)   0.00 states/eV/atom

=====

Which is most stable, and by how much? a, by 0.020 eV/atom.

=====

--- a ---
DFT (GGA-PBE) results for a relaxed structure of BaGeP.

a b c (Å): 4.633 4.694 8.703
angles (deg): 90.00 102.90 90.00
Sites, in units of the cell vectors:
Ba 0.169 0.250 0.293
Ba 0.831 0.750 0.707
Ge 0.412 0.250 0.936
Ge 0.588 0.750 0.064
P 0.324 0.250 0.671
P 0.676 0.750 0.329

Values from the calculation:
Space group   P2_1/m, No. 11
DOS(E_F)   0.47 states/eV/atom

=====

--- b ---
DFT (GGA-PBE) results for a relaxed structure of BaGeP.

a b c (Å): 5.007 4.279 8.155
angles (deg): 90.00 90.02 90.00
Sites, in units of the cell vectors:
Ba 0.249 0.000 0.209
Ba 0.751 0.000 0.791
Ge 0.250 0.500 0.566
Ge 0.750 0.500 0.434
P 0.252 0.500 0.842
P 0.748 0.500 0.158

Values from the calculation:
Space group   P2/m, No. 10
DOS(E_F)   0.34 states/eV/atom

=====

--- c ---
DFT (GGA-PBE) results for a relaxed structure of BaGeP.

a b c (Å): 4.501 4.501 4.751
angles (deg): 90.00 90.00 120.00
Sites, in units of the cell vectors:
Ba 0.000 0.000 0.000
Ge 0.667 0.333 0.500
P 0.333 0.667 0.500

Values from the calculation:
Space group   P-6m2, No. 187
DOS(E_F)   0.31 states/eV/atom

=====

Which is most stable, and by how much? a, by 0.058 eV/atom.

=====

--- a ---
DFT (GGA-PBE) results for a relaxed structure of BaGe3P.

a b c (Å): 5.765 5.765 5.765
angles (deg): 90.00 90.00 90.00
Sites, in units of the cell vectors:
Ba 0.000 0.000 0.000
Ge 0.000 0.000 0.500
Ge 0.000 0.500 0.000
Ge 0.500 0.000 0.000
P 0.500 0.500 0.500

Values from the calculation:
Space group   Pm-3m, No. 221
DOS(E_F)   1.33 states/eV/atom

=====

--- b ---
DFT (GGA-PBE) results for a relaxed structure of BaGe3P.

a b c (Å): 5.036 5.036 5.036
angles (deg): 90.00 90.00 90.00
Sites, in units of the cell vectors:
Ba 0.000 0.000 0.000
Ge 0.000 0.500 0.500
Ge 0.500 0.000 0.500
Ge 0.500 0.500 0.000
P 0.500 0.500 0.500

Values from the calculation:
Space group   Pm-3m, No. 221
DOS(E_F)   0.50 states/eV/atom

=====

Which is most stable, and by how much? b, by 1.654 eV/atom.

=====

--- a ---
DFT (GGA-PBE) results for a relaxed structure of BaGeP3.

a b c (Å): 5.564 5.564 5.564
angles (deg): 90.00 90.00 90.00
Sites, in units of the cell vectors:
Ba 0.000 0.000 0.000
Ge 0.500 0.500 0.500
P 0.000 0.000 0.500
P 0.000 0.500 0.000
P 0.500 0.000 0.000

Values from the calculation:
Space group   Pm-3m, No. 221
DOS(E_F)   1.18 states/eV/atom

=====

--- b ---
DFT (GGA-PBE) results for a relaxed structure of BaGeP3.

a b c (Å): 6.449 6.449 6.449
angles (deg): 72.41 72.41 72.41
Sites, in units of the cell vectors:
Ba 0.250 0.250 0.250
Ba 0.750 0.750 0.750
Ge 0.000 0.000 0.000
Ge 0.500 0.500 0.500
P 0.208 0.750 0.292
P 0.250 0.708 0.792
P 0.292 0.208 0.750
P 0.708 0.792 0.250
P 0.750 0.292 0.208
P 0.792 0.250 0.708

Values from the calculation:
Space group   R-3c, No. 167
DOS(E_F)   0.38 states/eV/atom

=====

--- c ---
DFT (GGA-PBE) results for a relaxed structure of BaGeP3.

a b c (Å): 4.916 4.916 4.916
angles (deg): 90.00 90.00 90.00
Sites, in units of the cell vectors:
Ba 0.000 0.000 0.000
Ge 0.500 0.500 0.500
P 0.000 0.500 0.500
P 0.500 0.000 0.500
P 0.500 0.500 0.000

Values from the calculation:
Space group   Pm-3m, No. 221
DOS(E_F)   0.92 states/eV/atom

=====

Which is most stable, and by how much? b, by 0.084 eV/atom.